No. 1
# U2VFe

U2VFe after structural relaxation (GGA-PBE, Alexandria).

Output
spin magnetization: 0.400 μB per atom
V: 69.77 Å³ per cell
SG: R-3m
E_form: 1.50 eV per formula unit

Cell: 4.3726 4.3726 4.9121 Å, 63.57 63.57 60.00°
With the nearest neighbours (Å) after each atom.
Atoms (fractional coordinates):
U (0.2552, 0.2552, 0.2345)  3 Fe 2.71, 3 V 2.76
U (0.7448, 0.7448, 0.7655)  3 Fe 2.71, 3 V 2.76
Fe (0.0000, 0.0000, 0.0000)  6 U 2.71
V (0.5000, 0.5000, 0.5000)  6 U 2.76

=====

No. 2
# Mn3AlRe

Mn3AlRe after structural relaxation (GGA-PBE, Alexandria).

Output
spin magnetization: 1.511 μB per atom
relative energy among the computed polymorphs: 0.000 eV per atom
V: 96.15 Å³ per cell
SG: Pm-3m
E_form: 6.32 eV per formula unit

Cell: 4.5812 4.5812 4.5812 Å, 90.00 90.00 90.00°
With the nearest neighbours (Å) after each atom.
Atoms (fractional coordinates):
Re (0.0000, 0.0000, 0.0000)  6 Mn 2.29
Mn (0.0000, 0.5000, 0.0000)  2 Re 2.29
Mn (0.0000, 0.0000, 0.5000)  2 Re 2.29
Mn (0.5000, 0.0000, 0.0000)  2 Re 2.29
Al (0.5000, 0.5000, 0.5000)  12 Mn 3.24

=====

No. 3
# Li7Cu2Rh2

Li7Cu2Rh2 after structural relaxation (GGA-PBE, Alexandria).

Output
spin magnetization: 0.000 μB per atom
relative energy among the computed polymorphs: 0.023 eV per atom
V: 169.27 Å³ per cell
SG: C2/m
E_form: 0.00 eV per formula unit

Cell: 5.1564 6.1490 6.1490 Å, 115.75 98.13 98.13°
With the nearest neighbours (Å) after each atom.
Atoms (fractional coordinates):
Li (0.2190, 0.4249, 0.9100)  2 Cu 2.53-2.64, 1 Rh 2.55, 3 Li 2.70-2.82
Li (0.7810, 0.0900, 0.5751)  2 Cu 2.53-2.64, 1 Rh 2.55, 3 Li 2.70-2.82
Li (0.7810, 0.5751, 0.0900)  2 Cu 2.53-2.64, 1 Rh 2.55, 3 Li 2.70-2.82
Li (0.2190, 0.9100, 0.4249)  2 Cu 2.53-2.64, 1 Rh 2.55, 3 Li 2.70-2.82
Li (0.3383, 0.3370, 0.3370)  2 Li 2.33-2.42, 2 Rh 2.58
Li (0.0000, 0.0000, 0.0000)  2 Li 2.42, 2 Rh 2.44
Li (0.6617, 0.6630, 0.6630)  2 Li 2.33-2.42, 2 Rh 2.58
Cu (0.5000, 0.1124, 0.8876)  1 Cu 2.34, 2 Li 2.53, 2 Rh 2.58
Cu (0.5000, 0.8876, 0.1124)  1 Cu 2.34, 2 Li 2.53, 2 Rh 2.58
Rh (0.1688, 0.6853, 0.6853)  6 Li 2.44-2.65, 2 Cu 2.58, 1 Rh 2.58
Rh (0.8312, 0.3147, 0.3147)  6 Li 2.44-2.65, 2 Cu 2.58, 1 Rh 2.58

=====

No. 4
# Li3SmO3

Li3SmO3 after structural relaxation (GGA-PBE, Alexandria).

Output
spin magnetization: 0.000 μB per atom
V: 167.09 Å³ per cell
SG: R-3
energy relative to the elements, uncorrected: -16.40 eV/f.u.

Cell: 5.9485 5.9485 6.4440 Å, 62.51 62.51 60.00°
With the nearest neighbours (Å) after each atom.
Atoms (fractional coordinates):
Li (0.4015, 0.8251, 0.6234)  4 O 1.97-2.21
Li (0.8251, 0.1500, 0.6234)  4 O 1.97-2.21
Li (0.1500, 0.4015, 0.6234)  4 O 1.97-2.21
Li (0.8500, 0.5985, 0.3766)  4 O 1.97-2.21
Li (0.1749, 0.8500, 0.3766)  4 O 1.97-2.21
Li (0.5985, 0.1749, 0.3766)  4 O 1.97-2.21
Sm (0.3302, 0.3302, 0.0095)  6 O 2.32-2.41
Sm (0.6698, 0.6698, 0.9905)  6 O 2.32-2.41
O (0.2823, 0.5391, 0.2630)  4 Li 1.97-2.21
O (0.9156, 0.2823, 0.2630)  4 Li 1.97-2.21
O (0.5391, 0.9156, 0.2630)  4 Li 1.97-2.21
O (0.4609, 0.0844, 0.7370)  4 Li 1.97-2.21
O (0.0844, 0.7177, 0.7370)  4 Li 1.97-2.21
O (0.7177, 0.4609, 0.7370)  4 Li 1.97-2.21

=====

No. 5
# Sc2SiBr

Sc2SiBr after structural relaxation (GGA-PBE, Alexandria).

Output
spin magnetization: 0.000 μB per atom
relative energy among the computed polymorphs: 0.000 eV per atom
V: 89.57 Å³ per cell
SG: R-3m
energy relative to the elements, uncorrected: -3.61 eV/f.u.

Cell: 3.9110 3.9110 7.1276 Å, 74.10 74.10 60.00°
With the nearest neighbours (Å) after each atom.
Atoms (fractional coordinates):
Br (0.2500, 0.2500, 0.2500)  6 Sc 3.04
Sc (0.0169, 0.0169, 0.9495)  3 Si 2.63
Sc (0.4831, 0.4831, 0.5505)  3 Si 2.63
Si (0.7500, 0.7500, 0.7500)  6 Sc 2.63

=====

No. 6
# GdGaBi2

GdGaBi2 after structural relaxation (GGA-PBE, Alexandria).

Output
spin magnetization: 1.734 μB per atom
relative energy among the computed polymorphs: 0.000 eV per atom
V: 110.03 Å³ per cell
SG: P4/mmm
E_form: -1.63 eV per formula unit

Cell: 4.6230 4.8786 4.8786 Å, 90.00 90.00 90.00°
With the nearest neighbours (Å) after each atom.
Atoms (fractional coordinates):
Gd (0.5000, 0.0000, 0.0000)  8 Bi 3.36, 4 Ga 3.45
Bi (0.0000, 0.0000, 0.5000)  4 Gd 3.36, 4 Ga 3.36, 4 Bi 3.45
Bi (0.0000, 0.5000, 0.0000)  4 Ga 3.36, 4 Gd 3.36, 4 Bi 3.45
Ga (0.5000, 0.5000, 0.5000)  8 Bi 3.36, 4 Gd 3.45

=====

No. 7
# Pm5Y2Tm12

Pm5Y2Tm12 after structural relaxation (GGA-PBE, Alexandria).

Output
spin magnetization: 0.000 μB per atom
relative energy among the computed polymorphs: 0.000 eV per atom
V: 595.78 Å³ per cell
SG: P-1
E_form: 0.48 eV per formula unit

Cell: 7.9108 8.6601 12.7529 Å, 132.69 72.00 111.31°
With the nearest neighbours (Å) after each atom.
Atoms (fractional coordinates):
Pm (0.2610, 0.4733, 0.5525)  8 Tm 3.52-3.56, 2 Pm 3.54-3.57, 2 Y 3.55-3.56
Pm (0.1583, 0.6840, 0.1319)  9 Tm 3.53-3.56, 2 Pm 3.54-3.55, 1 Y 3.54
Pm (0.0000, 0.0000, 0.5000)  4 Pm 3.54, 8 Tm 3.55-3.57
Pm (0.8417, 0.3160, 0.8681)  9 Tm 3.53-3.56, 2 Pm 3.54-3.55, 1 Y 3.54
Pm (0.7390, 0.5267, 0.4475)  8 Tm 3.52-3.56, 2 Pm 3.54-3.57, 2 Y 3.55-3.56
Y (0.5793, 0.8430, 0.8167)  1 Y 3.53, 8 Tm 3.53-3.56, 3 Pm 3.54-3.56
Y (0.4207, 0.1570, 0.1833)  1 Y 3.53, 8 Tm 3.53-3.56, 3 Pm 3.54-3.56
Tm (0.9449, 0.1029, 0.2871)  7 Tm 3.50-3.57, 4 Pm 3.52-3.56, 1 Y 3.55
Tm (0.1030, 0.7898, 0.9207)  7 Tm 3.50-3.56, 3 Pm 3.54-3.56, 2 Y 3.55-3.56
Tm (0.6328, 0.7376, 0.0271)  8 Tm 3.50-3.55, 2 Pm 3.53-3.55, 2 Y 3.54
Tm (0.2127, 0.5787, 0.3411)  7 Tm 3.50-3.57, 4 Pm 3.53-3.55, 1 Y 3.53
Tm (0.6811, 0.6299, 0.2355)  7 Tm 3.50-3.56, 1 Y 3.53, 4 Pm 3.54-3.57
Tm (0.5241, 0.9472, 0.6048)  7 Tm 3.51-3.55, 4 Pm 3.54-3.56, 1 Y 3.55
Tm (0.4759, 0.0528, 0.3952)  7 Tm 3.51-3.55, 4 Pm 3.54-3.56, 1 Y 3.55
Tm (0.7873, 0.4213, 0.6589)  7 Tm 3.50-3.57, 4 Pm 3.53-3.55, 1 Y 3.53
Tm (0.3189, 0.3701, 0.7645)  7 Tm 3.50-3.56, 1 Y 3.53, 4 Pm 3.54-3.57
Tm (0.8970, 0.2102, 0.0793)  7 Tm 3.50-3.56, 3 Pm 3.54-3.56, 2 Y 3.55-3.56
Tm (0.3672, 0.2624, 0.9729)  8 Tm 3.50-3.55, 2 Pm 3.53-3.55, 2 Y 3.54
Tm (0.0551, 0.8971, 0.7129)  7 Tm 3.50-3.57, 4 Pm 3.52-3.56, 1 Y 3.55

=====

No. 8
# CsKCd2As2

CsKCd2As2 after structural relaxation (GGA-PBE, Alexandria).

Output
spin magnetization: 0.000 μB per atom
V: 202.32 Å³ per cell
SG: P-3m1
E_form: -2.47 eV per formula unit

Cell: 4.6115 4.6115 10.9855 Å, 90.00 90.00 120.00°
With the nearest neighbours (Å) after each atom.
Atoms (fractional coordinates):
Cs (0.0000, 0.0000, 0.0000)  6 As 3.95, 6 Cd 4.00
K (0.0000, 0.0000, 0.5000)  6 Cd 3.66, 6 As 3.70
Cd (0.3333, 0.6667, 0.7287)  3 As 2.66
Cd (0.6667, 0.3333, 0.2713)  3 As 2.66
As (0.3333, 0.6667, 0.2656)  3 Cd 2.66
As (0.6667, 0.3333, 0.7344)  3 Cd 2.66